KLa2Au | Alexandria via LeMat-Bulk | PBE-GGA | optimized geometry; DOS(E_F) = 1.475 states/eV per atom; SG = I4/mmm; formation enthalpy at 0 K = 0.1182 eV/atom
1.0
6.311 0.099 0.000
2.386 5.843 0.000
-4.349 -2.971 3.478
Au K La
1 1 2
Direct
0.250 0.750 0.500 Au
0.750 0.250 0.500 K
0.000 0.000 0.000 La
0.500 0.500 0.000 La